A relaxed structure of Y2Cu2Ru. Source: Alexandria via LeMat-Bulk, functional PBEsol.

Geometry as POSCAR:
```
Y2Cu2Ru
1.0
-2.201 0.857 -2.390
-2.520 -1.127 1.916
1.593 7.626 3.631
Y Ru Cu
2 1 2
Direct
0.400 0.400 0.801
0.600 0.600 0.199
0.000 0.000 0.000
0.250 0.750 0.500
0.750 0.250 0.500
```

total magnetization = 0.00 μB/cell
total DFT energy (no corrections) = -6.616 eV per atom
ΔE_f = -118.6 meV per atom